Compound: Nd2BiRh
Source: Alexandria via LeMat-Bulk
Functional: PBE-GGA
Structure: relaxed

Cell lengths 6.4764, 6.2693, 11.6515 Å; angles 90.00, 105.12, 90.00 degrees
Element x y z (fractional)
Nd 0.1749 0.1668 0.1196
Nd 0.1749 0.8332 0.6196
Nd 0.2779 0.3358 0.8337
Nd 0.2779 0.6642 0.3337
Nd 0.7221 0.3358 0.6663
Nd 0.7221 0.6642 0.1663
Nd 0.8251 0.1668 0.3804
Nd 0.8251 0.8332 0.8804
Bi 0.3333 0.1756 0.4118
Bi 0.3333 0.8244 0.9118
Bi 0.6667 0.1756 0.0882
Bi 0.6667 0.8244 0.5882
Rh 0.1327 0.3378 0.5851
Rh 0.1327 0.6622 0.0851
Rh 0.8673 0.3378 0.9149
Rh 0.8673 0.6622 0.4149

Computed properties:
**Total DFT energy (no corrections)**: -23.22 eV/f.u.
**Energy relative to the lowest polymorph listed for this composition**: 0.047 eV per atom
**M_tot**: 0.000 μB/cell
**Density**: 8.732 g cm⁻³
**E_form**: -0.614 eV/atom